This record from the Alexandria database describes a relaxed InHgB crystal. The functional is PBE.

Computed properties:
formation energy	0.50	eV per atom
magnetization	0.00	μB/f.u.
density of states at the Fermi level	0.316	states/eV per atom

Lattice parameters (Å, degrees): 3.820 6.003 6.527 65.02 73.04 89.79
Space group P-1 (No. 2)
Symmetry-distinct sites (fractional):
In 0.121 0.277 0.243 x2
Hg 0.339 0.254 0.796 x2
B 0.484 0.125 0.514 x2